w) VASP calculation (PBE) on an optimized crystal structure of Pm2NdZn3.

Values from the calculation:
* space-group type: P4/mmm, No. 123
* M_tot: 0.00 μB/cell

Unit cell a=3.668 b=3.668 c=11.024 alpha=90.00 beta=90.00 gamma=90.00
Element x y z (fractional)
Pm: 0.000 0.000 0.166
Pm: 0.000 0.000 0.834
Nd: 0.000 0.000 0.500
Zn: 0.500 0.500 0.000
Zn: 0.500 0.500 0.331
Zn: 0.500 0.500 0.669

x) VASP calculation (PBE) on an optimized crystal structure of Pm2NdZn3.

Values from the calculation:
* space-group type: P-3m1, No. 164
* M_tot: 0.00 μB/cell

Unit cell a=5.182 b=5.182 c=6.350 alpha=90.00 beta=90.00 gamma=120.00
Element x y z (fractional)
Pm: 0.333 0.667 0.166
Pm: 0.667 0.333 0.834
Nd: 0.000 0.000 0.500
Zn: 0.000 0.000 0.000
Zn: 0.333 0.667 0.668
Zn: 0.667 0.333 0.332

Relative energy table, unit meV per atom: w) 6; x) 0

w) VASP calculation (PBE) on an optimized crystal structure of Pm2NdZn.

Values from the calculation:
* space-group type: Fm-3m, No. 225
* M_tot: 0.00 μB/cell

Unit cell a=5.474 b=5.474 c=5.474 alpha=60.00 beta=60.00 gamma=60.00
Element x y z (fractional)
Pm: 0.250 0.250 0.250
Pm: 0.750 0.750 0.750
Nd: 0.000 0.000 0.000
Zn: 0.500 0.500 0.500

x) VASP calculation (PBE) on an optimized crystal structure of Pm2NdZn.

Values from the calculation:
* space-group type: P4/mmm, No. 123
* M_tot: 0.00 μB/cell

Unit cell a=3.669 b=3.669 c=8.828 alpha=90.00 beta=90.00 gamma=90.00
Element x y z (fractional)
Pm: 0.000 0.000 0.206
Pm: 0.000 0.000 0.794
Nd: 0.500 0.500 0.500
Zn: 0.500 0.500 0.000

y) VASP calculation (PBE) on an optimized crystal structure of Pm2NdZn.

Values from the calculation:
* space-group type: R3m, No. 160
* M_tot: 0.00 μB/cell

Unit cell a=10.776 b=10.776 c=10.776 alpha=19.70 beta=19.70 gamma=19.70
Element x y z (fractional)
Pm: 0.000 0.000 0.000
Pm: 0.192 0.192 0.192
Nd: 0.429 0.429 0.429
Zn: 0.596 0.596 0.596

Relative energy table, unit meV per atom: w) 222; x) 0; y) 116

w) VASP calculation (PBE) on an optimized crystal structure of PmNdZn.

Values from the calculation:
* space-group type: F-43m, No. 216
* M_tot: 0.00 μB/cell

Unit cell a=5.083 b=5.083 c=5.083 alpha=60.00 beta=60.00 gamma=60.00
Element x y z (fractional)
Pm: 0.000 0.000 0.000
Nd: 0.500 0.500 0.500
Zn: 0.750 0.750 0.750

x) VASP calculation (PBE) on an optimized crystal structure of PmNdZn.

Values from the calculation:
* space-group type: I4mm, No. 107
* M_tot: 0.05 μB/cell

Unit cell a=6.750 b=6.750 c=6.750 alpha=148.24 beta=148.24 gamma=45.54
Element x y z (fractional)
Pm: 0.000 0.000 0.000
Nd: 0.711 0.711 0.000
Zn: 0.358 0.358 0.000

Relative energy table, unit meV per atom: w) 232; x) 0

w) VASP calculation (PBE) on an optimized crystal structure of PmNdZn.

Values from the calculation:
* space-group type: Cmcm, No. 63
* M_tot: 0.00 μB/cell

Unit cell a=5.246 b=5.246 c=7.044 alpha=90.00 beta=90.00 gamma=120.12
Element x y z (fractional)
Pm: 0.167 0.833 0.750
Pm: 0.833 0.167 0.250
Nd: 0.500 0.500 0.000
Nd: 0.500 0.500 0.500
Zn: 0.166 0.834 0.250
Zn: 0.834 0.166 0.750

x) VASP calculation (PBE) on an optimized crystal structure of PmNdZn.

Values from the calculation:
* space-group type: P3m1, No. 156
* M_tot: 0.00 μB/cell

Unit cell a=5.050 b=5.050 c=3.786 alpha=90.00 beta=90.00 gamma=120.00
Element x y z (fractional)
Pm: 0.000 0.000 0.000
Nd: 0.333 0.667 0.433
Zn: 0.667 0.333 0.725

Relative energy table, unit meV per atom: w) 0; x) 74